1.
MnC after structural relaxation, computed with PBE-GGA.

Values from the calculation:
Total magnetic moment: 2.9 μB per cell
Space-group type: No. 74
Energy: -34.0 eV/cell
DOS(E_F): 2.50 states/eV per cell

a b c (Å): 5.3381 5.3381 5.3381
angles (deg): 151.13 149.41 42.56
Positions (direct):
C1 0.3751 0.6251 0.2500
C2 0.6249 0.3749 0.7500
Mn1 0.8719 0.1219 0.2500
Mn2 0.1281 0.8781 0.7500

=====

2.
MnC2 after structural relaxation, computed with PBE-GGA.

Values from the calculation:
Total magnetic moment: 0.0 μB per cell
Space-group type: No. 194
Energy: -52.2 eV/cell
DOS(E_F): 4.10 states/eV per cell
Polymorph energy (0 for the lowest one): 0 meV per atom

a b c (Å): 2.6296 2.6296 7.8961
angles (deg): 90.00 90.00 120.00
Positions (direct):
Mn1 0.6667 0.3333 0.7500
Mn2 0.3333 0.6667 0.2500
C1 0.0000 0.0000 0.9130
C2 0.0000 0.0000 0.4130
C3 0.0000 0.0000 0.0870
C4 0.0000 0.0000 0.5870